# 1
Below is an optimized crystal structure of Sm5Y2In4, with properties calculated at the PBE level.

```
Sm5Y2In4
1.0
-2.662 1.464 1.618
-2.225 -7.758 3.356
5.899 0.926 8.865
In Sm Y
4 5 2
Direct
0.500 0.756 0.424
0.500 0.244 0.576
0.500 0.800 0.879
0.500 0.200 0.121
0.000 0.464 0.334
0.000 0.500 0.000
0.000 0.536 0.666
0.000 0.161 0.859
0.000 0.839 0.141
0.000 0.917 0.639
0.000 0.083 0.361
```

**Formation enthalpy at 0 K**: -0.281 eV per atom
**Space-group type**: P2/m (10)
**ΔE to the lowest computed polymorph**: 0.000 eV per atom
**Calculated density**: 7.2 g cm⁻³
**Total moment**: 0.020 μB per atom



# 2
Below is an optimized crystal structure of SmYIn2, with properties calculated at the PBE level.

```
SmYIn2
1.0
-2.956 1.494 -1.855
-0.233 -3.124 -2.144
-4.750 -3.117 5.060
In Y Sm
2 1 1
Direct
0.000 0.000 0.257
0.000 0.000 0.743
0.500 0.500 0.500
0.500 0.500 0.000
```

**Formation enthalpy at 0 K**: -0.498 eV per atom
**Space-group type**: P4/mmm (123)
**ΔE to the lowest computed polymorph**: 0.001 eV per atom
**Calculated density**: 7.1 g cm⁻³
**Total moment**: 0.000 μB per atom



# 3
Below is an optimized crystal structure of Sm6Y2In3, with properties calculated at the PBE level.

```
Sm6Y2In3
1.0
5.396 0.000 0.000
0.000 5.396 0.000
-2.698 -2.698 12.319
Sm In Y
6 3 2
Direct
0.400 0.900 0.801
0.100 0.600 0.199
0.600 0.100 0.199
0.303 0.303 0.605
0.697 0.697 0.395
0.900 0.400 0.801
0.825 0.825 0.650
0.175 0.175 0.350
0.000 0.000 0.000
0.442 0.442 0.885
0.558 0.558 0.115
```

**Formation enthalpy at 0 K**: 0.233 eV per atom
**Space-group type**: I4/mmm (139)
**Calculated density**: 6.6 g cm⁻³
**Total moment**: 0.000 μB per atom



# 4
Below is an optimized crystal structure of Sm6YIn4, with properties calculated at the PBE level.

```
Sm6YIn4
1.0
-5.601 -2.132 5.538
4.772 -5.459 -3.743
6.951 3.770 2.014
In Sm Y
4 6 1
Direct
0.000 0.597 0.270
0.000 0.270 0.597
0.326 0.730 0.730
0.674 0.403 0.403
0.379 0.473 0.473
0.500 0.500 0.000
0.000 0.906 0.527
0.621 0.094 0.094
0.000 0.527 0.906
0.500 0.000 0.500
0.000 0.000 0.000
```

**Formation enthalpy at 0 K**: -0.129 eV per atom
**Space-group type**: I-42m (121)
**Calculated density**: 6.5 g cm⁻³
**Total moment**: 0.001 μB per atom



# 5
Below is an optimized crystal structure of Sm7Y3In, with properties calculated at the PBE level.

```
Sm7Y3In
1.0
8.602 0.000 0.000
0.000 7.062 0.000
0.000 -3.531 6.116
Y Sm In
3 7 1
Direct
0.780 0.500 0.500
0.780 0.500 0.000
0.780 0.000 0.500
0.121 0.662 0.831
0.447 0.831 0.661
0.112 0.667 0.333
0.121 0.169 0.338
0.121 0.169 0.831
0.447 0.831 0.169
0.447 0.339 0.169
0.458 0.333 0.667
```

**Formation enthalpy at 0 K**: 0.107 eV per atom
**Space-group type**: P3m1 (156)
**Calculated density**: 6.4 g cm⁻³
**Total moment**: 0.000 μB per atom



# 6
Below is an optimized crystal structure of Sm3Y2In, with properties calculated at the PBE level.

```
Sm3Y2In
1.0
4.955 0.000 0.000
0.000 4.669 -1.579
0.000 0.104 8.000
Sm Y In
3 2 1
Direct
0.500 0.500 0.000
0.500 0.168 0.337
0.500 0.832 0.663
0.000 0.661 0.322
0.000 0.339 0.678
0.000 0.000 0.000
```

**Formation enthalpy at 0 K**: -0.159 eV per atom
**Space-group type**: Cmmm (65)
**ΔE to the lowest computed polymorph**: 0.000 eV per atom
**Calculated density**: 6.6 g cm⁻³
**Total moment**: 0.000 μB per atom



# 7
Below is an optimized crystal structure of Sm6Y12In, with properties calculated at the PBE level.

```
Sm6Y12In
1.0
8.541 0.416 -1.427
-1.749 8.370 -1.427
0.321 0.416 8.654
Y Sm In
12 6 1
Direct
0.170 0.584 0.584
0.416 0.416 0.830
0.259 0.741 0.000
0.584 0.584 0.170
0.000 0.259 0.741
0.000 0.741 0.259
0.416 0.830 0.416
0.741 0.000 0.259
0.259 0.000 0.741
0.584 0.170 0.584
0.741 0.259 0.000
0.830 0.416 0.416
0.407 0.134 0.134
0.134 0.407 0.134
0.866 0.593 0.866
0.134 0.134 0.407
0.866 0.866 0.593
0.593 0.866 0.866
0.000 0.000 0.000
```

**Formation enthalpy at 0 K**: 0.092 eV per atom
**Space-group type**: R-3m (166)
**ΔE to the lowest computed polymorph**: 0.033 eV per atom
**Calculated density**: 5.5 g cm⁻³
**Total moment**: 0.000 μB per atom



# 8
Below is an optimized crystal structure of Sm8Y5In, with properties calculated at the PBE level.

```
Sm8Y5In
1.0
-3.636 -7.640 1.788
6.907 -1.885 -4.849
3.399 4.996 6.187
Y Sm In
5 8 1
Direct
0.900 0.186 0.087
0.274 0.199 0.076
0.878 0.801 0.076
0.900 0.814 0.714
0.451 0.000 0.451
0.448 0.460 0.531
0.071 0.540 0.988
0.097 0.662 0.435
0.071 0.083 0.531
0.773 0.338 0.435
0.586 0.342 0.928
0.448 0.917 0.988
0.586 0.658 0.244
0.267 0.500 0.767
```

**Formation enthalpy at 0 K**: 0.135 eV per atom
**Space-group type**: Imm2 (44)
**Calculated density**: 6.1 g cm⁻³
**Total moment**: 0.000 μB per atom



# 9
Below is an optimized crystal structure of Sm2Y3In, with properties calculated at the PBE level.

```
Sm2Y3In
1.0
-4.474 0.787 -2.432
-1.571 -6.956 6.095
1.869 7.961 4.597
Y In Sm
6 2 4
Direct
0.500 0.000 0.500
0.455 0.625 0.784
0.045 0.216 0.375
0.000 0.500 0.000
0.545 0.375 0.216
0.955 0.784 0.625
0.250 0.607 0.393
0.750 0.393 0.607
0.750 0.778 0.222
0.250 0.928 0.072
0.750 0.072 0.928
0.250 0.222 0.778
```

**Formation enthalpy at 0 K**: -0.152 eV per atom
**Space-group type**: Imma (74)
**ΔE to the lowest computed polymorph**: 0.004 eV per atom
**Calculated density**: 6.1 g cm⁻³
**Total moment**: 0.000 μB per atom



# 10
Below is an optimized crystal structure of SmY3In, with properties calculated at the PBE level.

```
SmY3In
1.0
-2.691 3.201 -2.514
-3.976 -2.706 0.810
-3.575 8.048 9.339
Y Sm In
6 2 2
Direct
0.074 0.750 0.500
0.374 0.250 0.901
0.771 0.250 0.106
0.574 0.250 0.500
0.275 0.750 0.099
0.877 0.750 0.894
0.175 0.250 0.299
0.474 0.750 0.701
0.977 0.250 0.694
0.671 0.750 0.306
```

**Formation enthalpy at 0 K**: -0.184 eV per atom
**Space-group type**: Cmcm (63)
**Calculated density**: 5.9 g cm⁻³
**Total moment**: 0.131 μB per atom



# 11
Below is an optimized crystal structure of SmY8In2, with properties calculated at the PBE level.

```
SmY8In2
1.0
-5.497 0.615 1.393
-0.399 -5.723 -6.620
3.557 -2.544 7.590
Y In Sm
8 2 1
Direct
0.296 0.595 0.595
0.879 0.907 0.676
0.500 0.219 0.781
0.879 0.676 0.907
0.704 0.405 0.405
0.121 0.324 0.093
0.500 0.781 0.219
0.121 0.093 0.324
0.000 0.693 0.307
0.000 0.307 0.693
0.500 0.000 0.000
```

**Formation enthalpy at 0 K**: -0.058 eV per atom
**Space-group type**: C2/m (12)
**Calculated density**: 5.2 g cm⁻³
**Total moment**: 0.000 μB per atom



# 12
Below is an optimized crystal structure of SmYIn2, with properties calculated at the PBE level.

```
SmYIn2
1.0
4.345 0.000 0.000
0.000 5.012 0.000
0.000 0.000 5.012
Sm In Y
1 2 1
Direct
0.500 0.000 0.000
0.000 0.000 0.500
0.000 0.500 0.000
0.500 0.500 0.500
```

**Formation enthalpy at 0 K**: -0.488 eV per atom
**Space-group type**: P4/mmm (123)
**ΔE to the lowest computed polymorph**: 0.010 eV per atom
**Calculated density**: 7.1 g cm⁻³
**Total moment**: 0.000 μB per atom



- formation enthalpy at 0 K of number 4 (Sm6YIn4)?
  -0.129 eV per atom